First-principles (GGA-PBE) data for a geometry-optimized Pb2SeN structure, as listed in Alexandria.

a b c (Å): 5.042 5.042 5.042
angles (deg): 60.00 60.00 60.00
Fractional coordinates of all 4 atoms:
Pb: 0.250 0.250 0.250
Pb: 0.750 0.750 0.750
Se: 0.000 0.000 0.000
N: 0.500 0.500 0.500

## Properties
Its total energy is -4.074 eV/atom. Its space-group type is Fm-3m (225). The crystal system is cubic. The total magnetization is 1.1 μB per cell. As for the uncorrected formation energy: 70.7 kJ/mol of atoms.